VASP calculation (meta-GGA SCAN) on Cs2KAlBr6 at its PBEsol-relaxed geometry.

Calculated values
E	-902.36	eV/cell
spin magnetization	0.00	μB per formula unit
ΔE_f (raw)	-1713	meV/atom
N(E_F)	0.00	states/eV per cell

Lattice parameters (Å, degrees): 11.1379 11.1379 11.1379 90.00 90.00 90.00
Space group Fm-3m (No. 225)
Symmetry-distinct sites (fractional):
Cs 0.2500 0.2500 0.2500 [8 per cell]
K 0.0000 0.0000 0.0000 [4 per cell]
Al 0.0000 0.0000 0.5000 [4 per cell]
Br 0.0000 0.0000 0.2759 [24 per cell]

***

VASP calculation (meta-GGA SCAN) on Li2CrOs at its PBEsol-relaxed geometry.

Calculated values
E	-370.68	eV/cell
energy relative to the lowest polymorph listed for this composition	221.7	meV/atom
spin magnetization	3.04	μB per formula unit
N(E_F)	16.95	states/eV per cell
ΔE_f	0.594	eV per atom

Lattice parameters (Å, degrees): 5.8000 5.8000 5.8000 90.00 90.00 90.00
Space group Fm-3m (No. 225)
Symmetry-distinct sites (fractional):
Li 0.2500 0.2500 0.2500 [8 per cell]
Cr 0.0000 0.0000 0.0000 [4 per cell]
Os 0.0000 0.0000 0.5000 [4 per cell]

***

VASP calculation (meta-GGA SCAN) on CdAu at its PBEsol-relaxed geometry.

Calculated values
E	-399.96	eV/cell
spin magnetization	0.00	μB per formula unit
N(E_F)	2.23	states/eV per cell
ΔE_f	-0.209	eV per atom

Lattice parameters (Å, degrees): 10.1163 3.2669 4.7475 90.00 110.51 90.00
Space group C2/m (No. 12)
Symmetry-distinct sites (fractional):
Cd 0.1135 0.0000 0.3217 [4 per cell]
Au 0.1340 0.5000 0.8295 [4 per cell]

***

VASP calculation (meta-GGA SCAN) on TlInCo2 at its PBEsol-relaxed geometry.

Calculated values
E	-276.09	eV/cell
spin magnetization	2.58	μB per formula unit
N(E_F)	5.98	states/eV per cell
ΔE_f	0.577	eV per atom

Lattice parameters (Å, degrees): 3.7782 3.7782 8.7426 90.00 90.00 90.00
Space group I-4m2 (No. 119)
Symmetry-distinct sites (fractional):
Tl 0.0000 0.0000 0.0000 [2 per cell]
In 0.0000 0.5000 0.7500 [2 per cell]
Co 0.0000 0.0000 0.5000 [2 per cell]
Co 0.0000 0.5000 0.2500 [2 per cell]

***

VASP calculation (meta-GGA SCAN) on ZrTcRh2 at its PBEsol-relaxed geometry.

Calculated values
E	-269.98	eV/cell
energy relative to the lowest polymorph listed for this composition	0.0	meV/atom
spin magnetization	0.00	μB per formula unit
N(E_F)	6.35	states/eV per cell
ΔE_f	-0.422	eV per atom

Lattice parameters (Å, degrees): 5.5566 7.6852 2.8104 90.00 90.00 90.00
Space group Cmmm (No. 65)
Symmetry-distinct sites (fractional):
Zr 0.0000 0.0000 0.0000 [2 per cell]
Tc 0.0000 0.5000 0.0000 [2 per cell]
Rh 0.2500 0.2500 0.5000 [4 per cell]

***

VASP calculation (meta-GGA SCAN) on ReHg3Ge at its PBEsol-relaxed geometry.

Calculated values
E	-288.53	eV/cell
spin magnetization	0.01	μB per formula unit
N(E_F)	3.09	states/eV per cell
ΔE_f	1.231	eV per atom

Lattice parameters (Å, degrees): 5.1451 5.1451 5.1451 90.00 90.00 90.00
Space group Pm-3m (No. 221)
Symmetry-distinct sites (fractional):
Re 0.0000 0.0000 0.0000 [1 per cell]
Hg 0.0000 0.0000 0.5000 [3 per cell]
Ge 0.5000 0.5000 0.5000 [1 per cell]

***

VASP calculation (meta-GGA SCAN) on HfTl2Cl at its PBEsol-relaxed geometry.

Calculated values
E	-856.97	eV/cell
spin magnetization	0.00	μB per formula unit
ΔE_f (raw)	281	meV/atom
N(E_F)	10.30	states/eV per cell

Lattice parameters (Å, degrees): 7.2792 7.2792 7.2792 90.00 90.00 90.00
Space group Fm-3m (No. 225)
Symmetry-distinct sites (fractional):
Hf 0.0000 0.0000 0.0000 [4 per cell]
Tl 0.2500 0.2500 0.2500 [8 per cell]
Cl 0.0000 0.0000 0.5000 [4 per cell]

***

VASP calculation (meta-GGA SCAN) on Mn2SiCl at its PBEsol-relaxed geometry.

Calculated values
E	-167.49	eV/cell
energy relative to the lowest polymorph listed for this composition	0.0	meV/atom
spin magnetization	7.68	μB per formula unit
ΔE_f (raw)	-331	meV/atom
N(E_F)	4.68	states/eV per cell

Lattice parameters (Å, degrees): 3.2447 3.2447 20.3960 90.00 90.00 120.00
Space group R-3m (No. 166, hexagonal axes)
Symmetry-distinct sites (fractional):
Mn 0.0000 0.0000 0.2414 [6 per cell]
Si 0.0000 0.0000 0.5000 [3 per cell]
Cl 0.0000 0.0000 0.0000 [3 per cell]

***

VASP calculation (meta-GGA SCAN) on Ta3Mo13 at its PBEsol-relaxed geometry.

Calculated values
E	-1309.53	eV/cell
spin magnetization	0.00	μB per formula unit
N(E_F)	13.67	states/eV per cell
ΔE_f	-0.094	eV per atom

Lattice parameters (Å, degrees): 6.2982 8.9034 8.9270 90.00 90.00 90.00
Space group Amm2 (No. 38)
Symmetry-distinct sites (fractional):
Ta 0.0000 0.0000 0.0000 [2 per cell]
Ta 0.2516 0.0000 0.7437 [4 per cell]
Mo 0.0000 0.0000 0.4926 [2 per cell]
Mo 0.0000 0.2481 0.2457 [4 per cell]
Mo 0.2512 0.2491 0.4957 [8 per cell]
Mo 0.2515 0.0000 0.2475 [4 per cell]
Mo 0.5000 0.0000 0.4923 [2 per cell]
Mo 0.5000 0.0000 0.9977 [2 per cell]
Mo 0.5000 0.2473 0.2453 [4 per cell]

***

VASP calculation (meta-GGA SCAN) on LaIr3 at its PBEsol-relaxed geometry.

Calculated values
E	-2330.62	eV/cell
spin magnetization	0.00	μB per formula unit
N(E_F)	27.92	states/eV per cell
ΔE_f	-0.639	eV per atom

Lattice parameters (Å, degrees): 5.3426 5.3426 26.3731 90.00 90.00 120.00
Space group R-3m (No. 166, hexagonal axes)
Symmetry-distinct sites (fractional):
La 0.0000 0.0000 0.0000 [3 per cell]
La 0.0000 0.0000 0.1400 [6 per cell]
Ir 0.0000 0.0000 0.3318 [6 per cell]
Ir 0.0000 0.0000 0.5000 [3 per cell]
Ir 0.0039 0.5020 0.0803 [18 per cell]

***

VASP calculation (meta-GGA SCAN) on LiSiMo2 at its PBEsol-relaxed geometry.

Calculated values
E	-81.64	eV/cell
spin magnetization	0.00	μB per formula unit
ΔE_f (raw)	133	meV/atom
N(E_F)	2.41	states/eV per cell

Lattice parameters (Å, degrees): 2.6435 4.1129 5.2187 90.00 104.02 90.00
Space group P2/m (No. 10)
Symmetry-distinct sites (fractional):
Li 0.0000 0.0000 0.0000 [1 per cell]
Si 0.5000 0.0000 0.5000 [1 per cell]
Mo 0.2563 0.5000 0.7519 [2 per cell]

***

VASP calculation (meta-GGA SCAN) on TcSn3Cl at its PBEsol-relaxed geometry.

Calculated values
E	-152.40	eV/cell
spin magnetization	0.00	μB per formula unit
ΔE_f (raw)	-320	meV/atom

Lattice parameters (Å, degrees): 5.0813 5.0813 5.0813 90.00 90.00 90.00
Space group Pm-3m (No. 221)
Symmetry-distinct sites (fractional):
Tc 0.0000 0.0000 0.0000 [1 per cell]
Sn 0.0000 0.0000 0.5000 [3 per cell]
Cl 0.5000 0.5000 0.5000 [1 per cell]